{"formula": "Pt3Br", "functional": "meta-GGA SCAN", "state": "single point on PBEsol structure", "crystal_system": "orthorhombic", "space_group": "Cmmm", "final_energy_ev_per_atom": -57.195, "formation_energy_uncorrected_ev_per_atom": 0.315, "vol_a3_per_atom": 18.16, "density_g_cm3": 15.208, "cell": [[-3.184, 0.620, -1.814], [-0.852, -4.513, -0.047], [-1.727, 2.049, 3.730]], "species": ["Pt", "Pt", "Pt", "Br"], "fractional_positions": [[0.500, 0.271, 0.729], [0.000, 0.500, 0.500], [0.500, 0.729, 0.271], [0.000, 0.000, 0.000]]}

---

{"formula": "SrScPt2", "functional": "meta-GGA SCAN", "state": "single point on PBEsol structure", "formation_energy_ev_per_atom": -1.15, "crystal_system": "tetragonal", "space_group": "P4/mmm", "polymorph_energy_mev_per_atom": 0.0, "final_energy_ev_per_atom": -45.379, "vol_a3_per_atom": 20.20, "density_g_cm3": 10.743, "cell": [[3.342, 0.000, 0.000], [0.000, 3.342, 0.000], [0.000, 0.000, 7.234]], "species": ["Sr", "Sc", "Pt", "Pt"], "fractional_positions": [[0.500, 0.500, 0.500], [0.500, 0.500, 0.000], [0.000, 0.000, 0.797], [0.000, 0.000, 0.203]]}

---

{"formula": "AlOsW2", "functional": "meta-GGA SCAN", "state": "single point on PBEsol structure", "formation_energy_ev_per_atom": -0.24, "crystal_system": "orthorhombic", "space_group": "Immm", "final_energy_ev_per_atom": -54.994, "vol_a3_per_atom": 14.65, "density_g_cm3": 16.570, "cell": [[3.102, 0.000, 0.000], [0.000, 4.260, 0.000], [-1.551, -2.130, 4.436]], "species": ["Os", "Al", "W", "W"], "fractional_positions": [[0.000, 0.500, 0.000], [0.500, 0.000, 0.000], [0.747, 0.747, 0.495], [0.253, 0.253, 0.505]]}